[1]
DFT (PBE) results for an optimized crystal structure of Nb3SI3Br3Cl.

Computed properties:
Energy above the most stable polymorph in this dataset   0 meV per atom
Magnetic moment   0.00 μB per cell

a = 7.3596 Å, b = 7.3596 Å, c = 6.8802 Å
α = 90.00°, β = 90.00°, γ = 120.00°
Space group P3m1 (No. 156)
Inequivalent atoms, fractional coordinates:
Nb  0.2005  0.4009  0.0000 [3 per cell]
S  0.3333  0.6667  0.7512 [1 per cell]
I  0.3388  0.1694  0.7625 [3 per cell]
Br  0.5004  0.0009  0.2477 [3 per cell]
Cl  0.0000  0.0000  0.1691 [1 per cell]

---

[2]
DFT (PBE) results for an optimized crystal structure of NaTmU.

Computed properties:
Energy above the most stable polymorph in this dataset   0 meV per atom
Magnetic moment   20.99 μB per cell

a = 7.336 Å, b = 7.336 Å, c = 7.336 Å
α = 90.00°, β = 90.00°, γ = 90.00°
Space group F-43m (No. 216)
Inequivalent atoms, fractional coordinates:
Na  0.000  0.000  0.000 [4 per cell]
Tm  0.250  0.250  0.750 [4 per cell]
U  0.250  0.250  0.250 [4 per cell]

---

[3]
DFT (PBE) results for an optimized crystal structure of Zr2Mo.

Computed properties:
Energy above the most stable polymorph in this dataset   167 meV per atom
ΔH_f (0 K)   0.183 eV per atom
Magnetic moment   0.01 μB per cell

a = 5.029 Å, b = 8.636 Å, c = 5.687 Å
α = 90.00°, β = 90.00°, γ = 90.00°
Space group Pmmn (No. 59, origin choice 2)
Inequivalent atoms, fractional coordinates:
Zr  0.250  0.072  0.156 [4 per cell]
Zr  0.250  0.250  0.642 [2 per cell]
Zr  0.250  0.750  0.047 [2 per cell]
Mo  0.250  0.606  0.582 [4 per cell]

---

[4]
DFT (PBE) results for an optimized crystal structure of KFeCoTe3.

Computed properties:
Energy above the most stable polymorph in this dataset   13 meV per atom
Magnetic moment   7.66 μB per cell

a = 16.276 Å, b = 3.794 Å, c = 9.819 Å
α = 90.00°, β = 90.00°, γ = 90.00°
Space group Pnma (No. 62)
Inequivalent atoms, fractional coordinates:
K  0.241  0.250  0.051 [4 per cell]
Fe  0.013  0.250  0.317 [4 per cell]
Co  0.008  0.750  0.096 [4 per cell]
Te  0.073  0.250  0.568 [4 per cell]
Te  0.089  0.750  0.878 [4 per cell]
Te  0.117  0.750  0.267 [4 per cell]

---

[5]
DFT (PBE) results for an optimized crystal structure of ErCd.

Computed properties:
ΔH_f (0 K)   -0.089 eV per atom
Magnetic moment   0.01 μB per cell

a = 3.4146 Å, b = 3.4146 Å, c = 5.1790 Å
α = 90.00°, β = 90.00°, γ = 120.00°
Space group P-6m2 (No. 187)
Inequivalent atoms, fractional coordinates:
Er  0.0000  0.0000  0.0000 [1 per cell]
Cd  0.3333  0.6667  0.5000 [1 per cell]

---

[6]
DFT (PBE) results for an optimized crystal structure of DyHgTeO.

Computed properties:
Energy above the most stable polymorph in this dataset   62 meV per atom
Magnetic moment   0.01 μB per cell

a = 7.770 Å, b = 7.517 Å, c = 7.157 Å
α = 90.00°, β = 109.38°, γ = 90.00°
Space group P2_1/c (No. 14)
Inequivalent atoms, fractional coordinates:
Dy  0.001  0.145  0.322 [4 per cell]
Hg  0.432  0.232  0.487 [4 per cell]
Te  0.294  0.562  0.651 [4 per cell]
O  0.051  0.138  0.637 [4 per cell]

---

[7]
DFT (PBE) results for an optimized crystal structure of YTlCuPd.

Computed properties:
Energy above the most stable polymorph in this dataset   0 meV per atom
Magnetic moment   0.01 μB per cell

a = 6.794 Å, b = 6.794 Å, c = 6.794 Å
α = 90.00°, β = 90.00°, γ = 90.00°
Space group F-43m (No. 216)
Inequivalent atoms, fractional coordinates:
Y  0.000  0.000  0.000 [4 per cell]
Tl  0.000  0.000  0.500 [4 per cell]
Cu  0.250  0.250  0.750 [4 per cell]
Pd  0.250  0.250  0.250 [4 per cell]

---

[8]
DFT (PBE) results for an optimized crystal structure of CsZrAuSe2S.

Computed properties:
Raw total energy   -4.998 eV per atom
Magnetic moment   0.03 μB per cell

a = 3.992 Å, b = 16.149 Å, c = 10.239 Å
α = 90.00°, β = 90.00°, γ = 90.00°
Space group Cmcm (No. 63)
Inequivalent atoms, fractional coordinates:
Cs  0.000  0.246  0.250 [4 per cell]
Zr  0.000  0.500  0.000 [4 per cell]
Au  0.000  0.040  0.750 [4 per cell]
Se  0.000  0.117  0.532 [8 per cell]
S  0.000  0.443  0.750 [4 per cell]